## MnPBrO2 (PBE with a Hubbard U)

Data for MnPBrO2 after structural relaxation.

The calculation puts the magnetization at 2.33 μB/cell. Its total energy is -25.38 eV for the cell shown. The value obtained for the density of states at the Fermi level is 2.6 states/eV/cell.

Cell: 3.7317 3.7317 5.5280 Å, 90.00 90.00 90.00°
Space group P4/mmm (No. 123)
One atom of each set of equivalent atoms:
1 Mn 0.0000 0.0000 0.0000 [1 per cell]
2 P 0.0000 0.0000 0.5000 [1 per cell]
3 Br 0.5000 0.5000 0.5000 [1 per cell]
4 O 0.0000 0.5000 0.0000 [2 per cell]